Record 1
# YCuCl2

A relaxed YCuCl2 crystal (PBE, Alexandria).

abc: 3.4651 3.4651 7.8708
angles: 90.00 90.00 90.00
Closest atoms and distances in Å follow each position.
Space group P4mm (No. 99)
Unique sites:
Y 0.0000 0.0000 0.0000  5 Cl 2.71-3.01, 4 Cu 2.93
Cu 0.5000 0.5000 0.7949  4 Cl 2.68, 4 Y 2.93
Cl 0.0000 0.0000 0.6558  4 Cu 2.68, 1 Y 2.71
Cl 0.5000 0.5000 0.2231  4 Y 3.01, 1 Cu 3.37

## Properties
N(E_F): 0.76 states/eV/f.u.
ΔE_f (raw): -1.0145 eV per atom
E above lowest polymorph: 0.093 eV per atom
Total moment: 0.0 μB/f.u.

Record 2
# ZnCu2Cl8

A relaxed ZnCu2Cl8 crystal (PBE, Alexandria).

abc: 10.9879 10.4263 6.3584
angles: 90.00 109.88 90.00
Closest atoms and distances in Å follow each position.
Space group C2/m (No. 12)
Unique sites:
Zn 0.0000 0.0000 0.0000  4 Cl 2.42
Cu 0.1631 0.0000 0.6482  3 Cl 2.14-2.20
Cl 0.0573 0.5000 0.1631  1 Cl 2.03
Cl 0.0993 0.1536 0.8242  1 Cu 2.20, 1 Zn 2.42
Cl 0.2230 0.0000 0.3615  1 Cu 2.14

## Properties
N(E_F): 0.17 states/eV/f.u.
ΔE_f (raw): -0.4803 eV per atom
Total moment: 2.1 μB/f.u.

Record 3
# ZnCuCl

A relaxed ZnCuCl crystal (PBE, Alexandria).

abc: 3.3396 3.3396 5.3231
angles: 90.00 90.00 120.00
Closest atoms and distances in Å follow each position.
Space group P3m1 (No. 156)
Unique sites:
Zn 0.0000 0.0000 0.0000  3 Cu 2.51
Cu 0.3333 0.6667 0.6995  3 Zn 2.51, 3 Cl 2.55
Cl 0.6667 0.3333 0.3852  3 Cu 2.55, 3 Zn 2.81

## Properties
N(E_F): 0.17 states/eV/f.u.
ΔE_f (raw): -0.1700 eV per atom
E above lowest polymorph: 0.000 eV per atom
Total moment: 0.0 μB/f.u.

Record 4
# ZnCu2Cl

A relaxed ZnCu2Cl crystal (PBE, Alexandria).

abc: 3.5629 3.5629 10.2181
angles: 90.00 90.00 90.00
Closest atoms and distances in Å follow each position.
Space group I4/mmm (No. 139)
Unique sites:
Zn 0.0000 0.0000 0.0000  4 Cl 2.52
Cu 0.0000 0.5000 0.2500  4 Cu 2.52
Cl 0.0000 0.0000 0.5000  4 Zn 2.52

## Properties
N(E_F): 1.14 states/eV/f.u.
ΔE_f (raw): 0.2995 eV per atom
E above lowest polymorph: 0.351 eV per atom
Total moment: 0.0 μB/f.u.

Record 5
# ZnCuCl

A relaxed ZnCuCl crystal (PBE, Alexandria).

abc: 3.2584 5.9384 11.3891
angles: 90.00 90.00 90.00
Closest atoms and distances in Å follow each position.
Space group Fmm2 (No. 42)
Unique sites:
Zn 0.0000 0.0000 0.0000  2 Cu 2.42, 2 Cl 2.63
Cu 0.0000 0.0000 0.6568  2 Zn 2.42, 2 Cl 2.46
Cl 0.0000 0.0000 0.3188  2 Cu 2.46, 2 Zn 2.63

## Properties
N(E_F): 0.48 states/eV/f.u.
ΔE_f (raw): -0.0665 eV per atom
E above lowest polymorph: 0.103 eV per atom
Total moment: 0.0 μB/f.u.

Record 6
# ZnCu2Cl

A relaxed ZnCu2Cl crystal (PBE, Alexandria).

abc: 4.5068 4.5068 2.9920
angles: 90.00 90.00 90.00
Closest atoms and distances in Å follow each position.
Space group P4/mmm (No. 123)
Unique sites:
Zn 0.0000 0.0000 0.0000  8 Cu 2.70, 2 Zn 2.99
Cu 0.0000 0.5000 0.5000  4 Cl 2.70, 4 Zn 2.70, 2 Cu 2.99
Cl 0.5000 0.5000 0.0000  8 Cu 2.70, 2 Cl 2.99

## Properties
N(E_F): 0.94 states/eV/f.u.
ΔE_f (raw): 0.2676 eV per atom
E above lowest polymorph: 0.319 eV per atom
Total moment: 0.0 μB/f.u.

Record 7
# Zn3CuCl

A relaxed Zn3CuCl crystal (PBE, Alexandria).

abc: 4.7431 4.7431 4.7431
angles: 90.00 90.00 90.00
Closest atoms and distances in Å follow each position.
Space group Pm-3m (No. 221)
Unique sites:
Zn 0.0000 0.0000 0.5000  2 Cu 2.37
Cu 0.0000 0.0000 0.0000  6 Zn 2.37
Cl 0.5000 0.5000 0.5000  12 Zn 3.35

## Properties
N(E_F): 1.03 states/eV/f.u.
ΔE_f (raw): 0.0586 eV per atom
E above lowest polymorph: 0.000 eV per atom
Total moment: 0.0 μB/f.u.

Record 8
# ZnCu2Cl

A relaxed ZnCu2Cl crystal (PBE, Alexandria).

abc: 3.2217 3.2217 6.0396
angles: 90.00 90.00 90.00
Closest atoms and distances in Å follow each position.
Space group P4/mmm (No. 123)
Unique sites:
Zn 0.0000 0.0000 0.0000  8 Cu 2.58
Cu 0.5000 0.5000 0.2003  1 Cu 2.42, 4 Zn 2.58
Cl 0.0000 0.0000 0.5000  8 Cu 2.91, 2 Zn 3.02, 4 Cl 3.22

## Properties
N(E_F): 1.21 states/eV/f.u.
ΔE_f (raw): 0.0785 eV per atom
E above lowest polymorph: 0.130 eV per atom
Total moment: 0.0 μB/f.u.

| no. | calculated total energy (eV per atom) |
| --- | --- |
| 1 | -4.578 |
| 2 | -2.684 |
| 3 | -2.576 |
| 4 | -2.529 |
| 5 | -2.472 |
| 6 | -2.561 |
| 7 | -1.894 |
| 8 | -2.750 |